Computed, not measured: an optimized crystal structure of CrClF at the PBE+U level of DFT.

Geometry as POSCAR:
```
CrClF
1.0
5.202 0.068 0.025
0.408 7.613 -0.941
0.341 -0.553 9.019
Cr Cl F
6 6 6
Cartesian
2.805 3.840 -0.458
5.342 5.005 2.138
0.000 0.000 0.000
2.757 0.947 3.166
0.610 2.123 5.964
3.195 6.181 4.936
2.481 5.684 7.195
1.526 4.666 4.129
3.470 1.444 0.907
4.660 -0.156 6.822
1.292 7.285 1.280
4.425 2.463 3.974
1.875 2.109 7.512
4.047 6.305 3.119
4.076 5.019 0.591
1.904 0.824 4.983
1.448 3.877 1.053
4.504 3.251 7.050
```

Properties
Its total energy is -5.565 eV per atom. As for the mass density: 2.99 g cm⁻³.